Entry 1:
A plane-wave DFT calculation with PBE was carried out for a relaxed structure of Ac2Ge2BRu2.

```
Ac2Ge2BRu2
1.0
11.7762 0.0000 0.0000
0.0000 4.4056 0.0000
-4.8270 0.0000 5.8777
Ac Ge B Ru
4 4 2 4
direct
0.0582 0.0000 0.3028
0.4418 0.5000 0.6972
0.5582 0.5000 0.3028
0.9418 0.0000 0.6972
0.1835 0.5000 0.7442
0.3165 0.0000 0.2558
0.6835 0.0000 0.7442
0.8165 0.5000 0.2558
0.0000 0.5000 0.0000
0.5000 0.0000 0.0000
0.1980 0.5000 0.0869
0.3020 0.0000 0.9131
0.6980 0.0000 0.0869
0.8020 0.5000 0.9131
```

Output
Energy of formation ... -624 meV per atom

=====

Entry 2:
A plane-wave DFT calculation with PBE was carried out for a relaxed structure of Ac2GeBRu.

```
Ac2GeBRu
1.0
4.2530 0.0000 0.0000
0.0000 4.2530 0.0000
0.0000 0.0000 14.9692
Ac Ge B Ru
4 2 2 2
direct
0.2500 0.2500 0.0995
0.2500 0.2500 0.6572
0.7500 0.7500 0.3428
0.7500 0.7500 0.9005
0.2500 0.2500 0.8664
0.7500 0.7500 0.1336
0.2500 0.2500 0.4551
0.7500 0.7500 0.5449
0.2500 0.7500 0.5000
0.7500 0.2500 0.5000
```

Output
Energy of formation ... -343 meV per atom

=====

Entry 3:
A plane-wave DFT calculation with PBE was carried out for a relaxed structure of AcGeBRu3.

```
AcGeBRu3
1.0
2.9553 -5.9751 0.0000
2.9553 5.9751 0.0000
0.0000 0.0000 5.9430
Ac Ge B Ru
2 2 2 6
direct
0.2451 0.7549 0.7500
0.7549 0.2451 0.2500
0.1185 0.8815 0.2500
0.8815 0.1185 0.7500
0.4953 0.5047 0.7500
0.5047 0.4953 0.2500
0.2553 0.2553 0.0000
0.2553 0.2553 0.5000
0.3276 0.6724 0.2500
0.6724 0.3276 0.7500
0.7447 0.7447 0.0000
0.7447 0.7447 0.5000
```

Output
Energy of formation ... -280 meV per atom

=====

Entry 4:
A plane-wave DFT calculation with PBE was carried out for a relaxed structure of AcTc2Ge2B.

```
AcTc2Ge2B
1.0
4.3135 0.0000 0.0000
0.0000 4.3135 0.0000
0.0000 0.0000 5.6885
Ac Tc Ge B
1 2 2 1
direct
0.0000 0.0000 0.0000
0.0000 0.5000 0.5000
0.5000 0.0000 0.5000
0.5000 0.5000 0.2411
0.5000 0.5000 0.7589
0.0000 0.0000 0.5000
```

Output
Energy of formation ... -500 meV per atom

=====

Entry 5:
A plane-wave DFT calculation with PBE was carried out for a relaxed structure of AcB2H8.

```
AcB2H8
1.0
4.8626 -2.0924 0.0000
4.8626 2.0924 0.0000
-2.4096 0.0000 5.1850
Ac B H
1 2 8
direct
0.0000 0.0000 0.0000
0.1916 0.1916 0.6983
0.8084 0.8084 0.3017
0.1033 0.6133 0.2469
0.1641 0.1641 0.4702
0.3346 0.3346 0.8155
0.3867 0.8967 0.7531
0.6133 0.1033 0.2469
0.6654 0.6654 0.1845
0.8359 0.8359 0.5298
0.8967 0.3867 0.7531
```

Output
Energy above the most stable polymorph in this dataset ... 0 meV per atom

=====

Entry 6:
A plane-wave DFT calculation with PBE was carried out for a relaxed structure of AcBH6.

```
AcBH6
1.0
5.4038 0.0000 0.0000
0.0000 6.3667 0.0000
-1.0071 0.0000 4.0632
Ac B H
2 2 12
direct
0.0000 0.0000 0.0000
0.5000 0.5000 0.0000
0.0000 0.5000 0.5000
0.5000 0.0000 0.5000
0.0880 0.3446 0.7435
0.0880 0.6554 0.7435
0.2450 0.5000 0.4346
0.2550 0.0000 0.5654
0.4120 0.1554 0.2565
0.4120 0.8446 0.2565
0.5880 0.1554 0.7435
0.5880 0.8446 0.7435
0.7450 0.0000 0.4346
0.7550 0.5000 0.5654
0.9120 0.3446 0.2565
0.9120 0.6554 0.2565
```

=====

Entry 7:
A plane-wave DFT calculation with PBE was carried out for a relaxed structure of AcB3H12.

```
AcB3H12
1.0
8.2247 0.0000 0.0000
-4.1123 7.1228 0.0000
0.0000 0.0000 5.5754
Ac B H
2 6 24
direct
0.3333 0.6667 0.2500
0.6667 0.3333 0.7500
0.0697 0.4160 0.7500
0.3464 0.9303 0.7500
0.4160 0.3464 0.2500
0.5840 0.6536 0.7500
0.6536 0.0697 0.2500
0.9303 0.5840 0.2500
0.0268 0.5387 0.7500
0.0667 0.7437 0.2500
0.1621 0.4266 0.5727
0.1621 0.4266 0.9273
0.2563 0.3230 0.2500
0.2645 0.8379 0.5727
0.2645 0.8379 0.9273
0.3230 0.0667 0.7500
0.4266 0.2645 0.0727
0.4266 0.2645 0.4273
0.4613 0.4881 0.7500
0.4881 0.0268 0.2500
0.5119 0.9732 0.7500
0.5387 0.5119 0.2500
0.5734 0.7355 0.5727
0.5734 0.7355 0.9273
0.6770 0.9333 0.2500
0.7355 0.1621 0.0727
0.7355 0.1621 0.4273
0.7437 0.6770 0.7500
0.8379 0.5734 0.0727
0.8379 0.5734 0.4273
0.9333 0.2563 0.7500
0.9732 0.4613 0.2500
```

=====

Entry 8:
A plane-wave DFT calculation with PBE was carried out for a relaxed structure of Ac3B2HO8.

```
Ac3B2HO8
1.0
5.3093 0.0000 0.0000
-2.6546 4.5980 0.0000
0.0000 0.0000 6.8331
Ac B H O
3 2 1 8
direct
0.0000 0.0000 0.0000
0.3333 0.6667 0.6550
0.6667 0.3333 0.3450
0.3333 0.6667 0.2182
0.6667 0.3333 0.7818
0.0000 0.0000 0.5000
0.1797 0.3594 0.3012
0.1797 0.8203 0.3012
0.3333 0.6667 0.0068
0.3594 0.1797 0.6988
0.6406 0.8203 0.3012
0.6667 0.3333 0.9932
0.8203 0.1797 0.6988
0.8203 0.6406 0.6988
```

=====

Result set for raw total energy: -94.1; -61.0; -89.8; -43.8; -47.0; -63.5; -138.4; -105.1 eV for the cell shown, one per record in the order listed.